Below is a geometry-optimized HoLuNi2 structure, with properties calculated at the PBE level.

Computed properties:
- total magnetization (μB/f.u.) = 0.00
- excess energy over the best structure of this formula in the dataset (eV per atom) = 0.0005
- electronic total energy (Ry/atom) = -0.413
- E_form (eV/f.u.) = -1.79
- calculated volume (A^3/atom) = 18.434

Cell: 4.737 4.737 3.287 Å, 90.00 90.00 90.00°
Positions (direct):
Ho1 0.000 0.000 0.000
Lu1 0.500 0.500 0.000
Ni1 0.000 0.500 0.500
Ni2 0.500 0.000 0.500